# 1
# CsVPO4

A relaxed structure of CsVPO4 (GGA+U, Alexandria). Values from VASP.

As for the symmetry: P2_1/m, No. 11. The total energy is -6.849 eV/atom.

Geometry as Quantum ESPRESSO input:
```
&SYSTEM
  ibrav = 0, nat = 14, ntyp = 4
/
ATOMIC_SPECIES
Cs 132.91 Cs.upf
O 16.00 O.upf
V 50.94 V.upf
P 30.97 P.upf
CELL_PARAMETERS angstrom
5.5097 0.0000 -0.0942
0.0000 5.7089 0.0000
-2.2913 0.0000 7.4981
ATOMIC_POSITIONS crystal
Cs 0.7042 0.7500 0.9380
Cs 0.2958 0.2500 0.0620
O 0.9385 0.0325 0.6675
O 0.4062 0.7500 0.2288
O 0.5938 0.2500 0.7712
O 0.0615 0.9675 0.3325
O 0.4350 0.7500 0.5531
O 0.5650 0.2500 0.4469
O 0.9385 0.4675 0.6675
O 0.0615 0.5325 0.3325
V 0.2224 0.2500 0.5225
V 0.7776 0.7500 0.4775
P 0.7563 0.2500 0.6398
P 0.2437 0.7500 0.3602
```



# 2
# CsVPO5

A relaxed structure of CsVPO5 (GGA+U, Alexandria). Values from VASP.

As for the symmetry: P2_12_12_1, No. 19. The total energy is -7.029 eV/atom.

Geometry as Quantum ESPRESSO input:
```
&SYSTEM
  ibrav = 0, nat = 32, ntyp = 4
/
ATOMIC_SPECIES
V 50.94 V.upf
P 30.97 P.upf
O 16.00 O.upf
Cs 132.91 Cs.upf
CELL_PARAMETERS angstrom
7.5651 0.0000 0.0000
0.0000 7.8732 0.0000
0.0000 0.0000 9.8657
ATOMIC_POSITIONS crystal
V 0.8906 0.5712 0.9603
V 0.6094 0.4288 0.4603
V 0.1094 0.0712 0.5397
V 0.3906 0.9288 0.0397
P 0.3428 0.1326 0.3461
P 0.8428 0.3674 0.6539
P 0.6572 0.6326 0.1539
P 0.1572 0.8674 0.8461
O 0.6848 0.5505 0.2932
O 0.3253 0.7628 0.8898
O 0.8253 0.7372 0.1102
O 0.3152 0.0505 0.2068
O 0.5110 0.2431 0.3451
O 0.1747 0.2372 0.3898
O 0.5518 0.0416 0.9730
O 0.8152 0.4495 0.7932
O 0.4482 0.5416 0.5270
O 0.6579 0.4954 0.0378
O 0.1579 0.0046 0.9622
O 0.6747 0.2628 0.6102
O 0.9890 0.7569 0.8451
O 0.1848 0.9495 0.7068
O 0.8421 0.5046 0.5378
O 0.0110 0.2569 0.6549
O 0.9482 0.9584 0.4730
O 0.0518 0.4584 0.0270
O 0.3421 0.9954 0.4622
O 0.4890 0.7431 0.1549
Cs 0.8696 0.1320 0.1591
Cs 0.6304 0.8680 0.6591
Cs 0.1304 0.6320 0.3409
Cs 0.3696 0.3680 0.8409
```



# 3
# CsV2P5O16

A relaxed structure of CsV2P5O16 (GGA+U, Alexandria). Values from VASP.

As for the symmetry: Pc, No. 7. The total energy is -7.320 eV/atom.

Geometry as Quantum ESPRESSO input:
```
&SYSTEM
  ibrav = 0, nat = 48, ntyp = 4
/
ATOMIC_SPECIES
P 30.97 P.upf
V 50.94 V.upf
O 16.00 O.upf
Cs 132.91 Cs.upf
CELL_PARAMETERS angstrom
9.5994 0.0000 0.0000
0.0000 7.6828 -0.0127
0.0000 3.8780 9.6874
ATOMIC_POSITIONS crystal
P 0.8751 0.2780 0.3016
P 0.4600 0.5158 0.4937
P 0.5808 0.1268 0.0243
P 0.8609 0.6105 0.3739
P 0.7065 0.5725 0.6269
P 0.2935 0.5725 0.1269
P 0.5400 0.5158 0.9937
P 0.1391 0.6105 0.8739
P 0.4192 0.1268 0.5243
P 0.1249 0.2780 0.8016
V 0.3677 0.9247 0.8617
V 0.8557 0.3788 0.9661
V 0.6323 0.9247 0.3617
V 0.1443 0.3788 0.4661
O 0.2620 0.1574 0.5017
O 0.8195 0.4890 0.2865
O 0.8000 0.8038 0.3061
O 0.0699 0.3009 0.6579
O 0.2966 0.7841 0.0632
O 0.2501 0.1507 0.8482
O 0.4974 0.3320 0.4628
O 0.2307 0.4843 0.2665
O 0.7869 0.4958 0.5218
O 0.3073 0.5152 0.5264
O 0.0079 0.2306 0.9084
O 0.5026 0.3320 0.9628
O 0.5415 0.0397 0.1759
O 0.2000 0.8038 0.8061
O 0.9921 0.2306 0.4084
O 0.7380 0.1574 0.0017
O 0.9831 0.6092 0.8981
O 0.5175 0.6850 0.3797
O 0.7034 0.7841 0.5632
O 0.5520 0.4864 0.6321
O 0.4480 0.4864 0.1321
O 0.0169 0.6092 0.3981
O 0.4733 0.0220 0.4375
O 0.4825 0.6850 0.8797
O 0.7693 0.4843 0.7665
O 0.7499 0.1507 0.3482
O 0.2131 0.4958 0.0218
O 0.4585 0.0397 0.6759
O 0.5267 0.0220 0.9375
O 0.6927 0.5152 0.0264
O 0.1805 0.4890 0.7865
O 0.9301 0.3009 0.1579
Cs 0.1951 0.9942 0.2574
Cs 0.8049 0.9942 0.7574
```



# 4
# CsVZnP6O18

A relaxed structure of CsVZnP6O18 (GGA+U, Alexandria). Values from VASP.

As for the symmetry: P1, No. 1. The total energy is -7.010 eV/atom.

Geometry as Quantum ESPRESSO input:
```
&SYSTEM
  ibrav = 0, nat = 27, ntyp = 5
/
ATOMIC_SPECIES
Zn 65.41 Zn.upf
O 16.00 O.upf
P 30.97 P.upf
V 50.94 V.upf
Cs 132.91 Cs.upf
CELL_PARAMETERS angstrom
-1.1124 3.2778 5.4233
-7.7764 -2.5873 -2.5632
3.8324 -7.1268 2.7765
ATOMIC_POSITIONS crystal
Zn 0.0103 0.7778 0.2270
O 0.0560 0.8339 0.4896
O 0.0992 0.3484 0.3497
O 0.0362 0.4736 0.8123
O 0.9292 0.9665 0.7420
O 0.3341 0.2661 0.8137
O 0.6321 0.4852 0.7637
O 0.6343 0.7533 0.4787
O 0.0386 0.2542 0.0296
O 0.9615 0.1802 0.5262
O 0.9513 0.5173 0.1804
O 0.6592 0.1873 0.7324
O 0.3500 0.8177 0.2673
O 0.0447 0.0341 0.2545
O 0.9590 0.7450 0.9654
O 0.6637 0.7252 0.1786
O 0.3676 0.2378 0.5155
O 0.3616 0.5125 0.2305
O 0.9042 0.6528 0.6508
P 0.5026 0.7123 0.2796
P 0.1030 0.1851 0.4077
P 0.8982 0.5927 0.8133
P 0.4975 0.2863 0.7135
P 0.0988 0.4085 0.1854
P 0.8956 0.8153 0.5900
V 0.9977 0.2225 0.7778
Cs 0.5488 0.9539 0.9703
```



# 5
# CsP2WO

A relaxed structure of CsP2WO (GGA+U, Alexandria). Values from VASP.

As for the symmetry: P4/mmm, No. 123. The total energy is -2.646 eV/atom.

Geometry as Quantum ESPRESSO input:
```
&SYSTEM
  ibrav = 0, nat = 5, ntyp = 4
/
ATOMIC_SPECIES
O 16.00 O.upf
Cs 132.91 Cs.upf
P 30.97 P.upf
W 183.84 W.upf
CELL_PARAMETERS angstrom
-2.7005 4.5578 -0.1508
-2.7578 -1.7718 -4.1646
-2.8529 -1.6052 2.5721
ATOMIC_POSITIONS crystal
O 0.0000 0.0000 0.5000
Cs 0.0000 0.0000 0.0000
P 0.5000 0.0000 0.0000
P 0.0000 0.5000 0.0000
W 0.5000 0.5000 0.5000
```



# 6
# CsP2WO8

A relaxed structure of CsP2WO8 (GGA+U, Alexandria). Values from VASP.

As for the symmetry: R-3, No. 148. The total energy is -7.047 eV/atom.

Geometry as Quantum ESPRESSO input:
```
&SYSTEM
  ibrav = 0, nat = 12, ntyp = 4
/
ATOMIC_SPECIES
O 16.00 O.upf
P 30.97 P.upf
W 183.84 W.upf
Cs 132.91 Cs.upf
CELL_PARAMETERS angstrom
5.0959 0.0000 0.0000
2.5480 4.4132 0.0000
2.5480 1.4711 9.2371
ATOMIC_POSITIONS crystal
O 0.6050 0.2180 0.1262
O 0.0508 0.6050 0.1262
O 0.9492 0.3950 0.8738
O 0.3950 0.7820 0.8738
O 0.7842 0.7842 0.6475
O 0.2180 0.0508 0.1262
O 0.2158 0.2158 0.3525
O 0.7820 0.9492 0.8738
P 0.2697 0.2697 0.1908
P 0.7303 0.7303 0.8092
W 0.0000 0.0000 0.0000
Cs 0.5000 0.5000 0.5000
```



Number 1: N(E_F) 0.00 states/eV/f.u.. Number 2: N(E_F) 0.00 states/eV/f.u.. Number 3: N(E_F) 0.00 states/eV/f.u.. Number 4: N(E_F) 0.00 states/eV/f.u.. Number 5: N(E_F) 2.23 states/eV/f.u.. Number 6: N(E_F) 2.51 states/eV/f.u..